(1)
The following is a PBE calculation of a relaxed structure of BeFe5Re2B2, from the Alexandria database.

Results
The value obtained for the density of states at the Fermi level is 12.16 states/eV per cell. Its energy relative to the elements is -0.245 eV per atom. The calculation puts the total moment at 0.0 μB per formula unit. The calculation puts the raw total energy at -173.48 eV per cell.

Structure (POSCAR):
```
BeFe5Re2B2
1.0
-0.4881 2.4768 1.0060
2.3927 -2.6682 7.7301
8.0331 2.2741 -1.7016
Be Fe Re B
2 10 4 4
direct
0.0000 0.0000 0.0000
0.0000 0.5000 0.5000
0.5000 0.2077 0.0591
0.5000 0.7923 0.9409
0.5000 0.0591 0.7923
0.5000 0.7077 0.4409
0.5000 0.9409 0.2077
0.5000 0.2923 0.5591
0.5000 0.5591 0.7077
0.5000 0.4409 0.2923
0.5000 0.5000 0.0000
0.5000 0.0000 0.5000
0.0000 0.6809 0.1809
0.0000 0.3191 0.8191
0.0000 0.1809 0.3191
0.0000 0.8191 0.6809
0.0000 0.1268 0.6268
0.0000 0.8732 0.3732
0.0000 0.6268 0.8732
0.0000 0.3732 0.1268
```

***

(2)
The following is a PBE calculation of a relaxed structure of La3Ge4Rh4, from the Alexandria database.

Results
The value obtained for the density of states at the Fermi level is 6.36 states/eV per cell. Its energy relative to the elements is -0.835 eV per atom. The calculation puts the total moment at 0.0 μB per formula unit. The calculation puts the raw total energy at -71.85 eV per cell.

Structure (POSCAR):
```
La3Ge4Rh4
1.0
4.4034 0.0016 -0.0009
0.0016 4.3277 -0.0003
-2.2049 -2.1656 12.2348
La Ge Rh
3 4 4
direct
0.3540 0.8541 0.7084
0.6460 0.1459 0.2916
0.0000 0.0000 0.0000
0.2503 0.2500 0.5001
0.0997 0.5995 0.1995
0.9003 0.4005 0.8005
0.7497 0.7500 0.4999
0.8003 0.2999 0.5999
0.4461 0.4463 0.8925
0.5539 0.5537 0.1075
0.1997 0.7001 0.4001
```

***

(3)
The following is a PBE calculation of a relaxed structure of Th2SnPd9, from the Alexandria database.

Results
The value obtained for the density of states at the Fermi level is 2.94 states/eV per cell. Its energy relative to the elements is -0.798 eV per atom. The calculation puts the total moment at 0.0 μB per formula unit. The calculation puts the raw total energy at -75.15 eV per cell.

Structure (POSCAR):
```
Th2SnPd9
1.0
4.1875 0.0000 0.0000
0.0000 4.1875 0.0000
0.0000 0.0000 12.3381
Th Sn Pd
2 1 9
direct
0.0000 0.0000 0.3261
0.0000 0.0000 0.6739
0.0000 0.0000 0.0000
0.5000 0.5000 0.0000
0.5000 0.5000 0.3293
0.5000 0.5000 0.6707
0.5000 0.0000 0.1601
0.5000 0.0000 0.5000
0.5000 0.0000 0.8399
0.0000 0.5000 0.1601
0.0000 0.5000 0.5000
0.0000 0.5000 0.8399
```

***

(4)
The following is a PBE calculation of a relaxed structure of Rb2BaNi, from the Alexandria database.

Results
The energy above the lowest structure with this stoichiometry is 1.12 eV per formula unit. The value obtained for the density of states at the Fermi level is 3.41 states/eV per cell. Its energy relative to the elements is 0.758 eV per atom. The calculation puts the total moment at 0.0 μB per formula unit. The calculation puts the raw total energy at -6.61 eV per cell.

Structure (POSCAR):
```
Rb2BaNi
1.0
0.0000 4.4586 4.4586
4.4586 0.0000 4.4586
4.4586 4.4586 0.0000
Ni Ba Rb
1 1 2
direct
0.0000 0.0000 0.0000
0.5000 0.5000 0.5000
0.2500 0.2500 0.2500
0.7500 0.7500 0.7500
```

***

(5)
The following is a PBE calculation of a relaxed structure of Pr2Zn3Rh, from the Alexandria database.

Results
The value obtained for the density of states at the Fermi level is 8.05 states/eV per cell. Its energy relative to the elements is -0.454 eV per atom. The calculation puts the total moment at 0.0 μB per formula unit. The calculation puts the raw total energy at -46.91 eV per cell.

Structure (POSCAR):
```
Pr2Zn3Rh
1.0
-4.3865 -3.5947 -1.5749
1.6000 -2.5908 5.0370
-3.6037 7.5015 2.1238
Pr Zn Rh
4 6 2
direct
0.2500 0.7500 0.5000
0.7409 0.7409 0.0000
0.7500 0.2500 0.5000
0.2591 0.2591 0.0000
0.6680 0.1654 0.8334
0.8346 0.3320 0.1666
0.3320 0.8346 0.1666
0.1654 0.6680 0.8334
0.8320 0.8320 0.6639
0.1680 0.1680 0.3361
0.3366 0.3366 0.6732
0.6634 0.6634 0.3268
```

***

(6)
The following is a PBE calculation of a relaxed structure of LiAcGeAu2, from the Alexandria database.

Results
The value obtained for the density of states at the Fermi level is 2.91 states/eV per cell. Its energy relative to the elements is -0.654 eV per atom. The calculation puts the total moment at 0.0 μB per formula unit. The calculation puts the raw total energy at -20.47 eV per cell.

Structure (POSCAR):
```
LiAcGeAu2
1.0
-2.1358 0.1371 3.9523
2.7640 -3.1608 1.6033
3.1225 5.3909 -1.0553
Li Ac Ge Au
1 1 1 2
direct
0.7500 0.2500 0.5000
0.0000 0.0000 0.0000
0.2500 0.7500 0.5000
0.6281 0.6281 0.2562
0.3719 0.3719 0.7438
```

***

(7)
The following is a PBE calculation of a relaxed structure of CsCrS3, from the Alexandria database.

Results
The energy above the lowest structure with this stoichiometry is 0.00 eV per formula unit. Its formation energy without anion corrections is -0.7642 eV/atom. The calculation puts the total moment at 1.0 μB per formula unit. The calculation puts the raw total energy at -106.72 eV per cell.

Structure (POSCAR):
```
CsCrS3
1.0
-3.7601 -3.1798 -3.9131
2.7976 -5.7907 2.0172
-11.7590 3.0389 8.8299
Cs Cr S
4 4 12
direct
0.7500 0.2878 0.8320
0.2500 0.7122 0.1680
0.2500 0.7122 0.6680
0.7500 0.2878 0.3320
0.2500 0.0842 0.4823
0.7500 0.9158 0.5177
0.7500 0.9158 0.0177
0.2500 0.0842 0.9823
0.0028 0.1419 0.5999
0.9972 0.8581 0.4001
0.5028 0.8581 0.9001
0.4972 0.1419 0.0999
0.4972 0.1419 0.5999
0.5028 0.8581 0.4001
0.9972 0.8581 0.9001
0.0028 0.1419 0.0999
0.2500 0.3407 0.4368
0.7500 0.6593 0.5632
0.7500 0.6593 0.0632
0.2500 0.3407 0.9368
```

***

(8)
The following is a PBE calculation of a relaxed structure of KCaCo2, from the Alexandria database.

Results
The energy above the lowest structure with this stoichiometry is 2.96 eV per formula unit. The value obtained for the density of states at the Fermi level is 9.24 states/eV per cell. Its energy relative to the elements is 1.063 eV per atom. The calculation puts the total moment at 2.8 μB per formula unit. The calculation puts the raw total energy at -13.06 eV per cell.

Structure (POSCAR):
```
KCaCo2
1.0
-7.3867 5.5739 -3.9456
-8.2634 2.7235 -5.0495
-9.1350 3.6349 -2.1303
Ca Co K
1 2 1
direct
0.7500 0.7500 0.7500
0.0079 0.0079 0.0079
0.4921 0.4921 0.4921
0.2500 0.2500 0.2500
```

***

(9)
The following is a PBE calculation of a relaxed structure of Tb3Pr2SmSb6, from the Alexandria database.

Results
Its formation energy without anion corrections is -1.1647 eV/atom. The value obtained for the density of states at the Fermi level is 1.93 states/eV per cell. The calculation puts the total moment at 0.0 μB per formula unit. The calculation puts the raw total energy at -66.88 eV per cell.

Structure (POSCAR):
```
Tb3Pr2SmSb6
1.0
4.4678 0.0000 0.0000
0.0000 8.9221 0.3248
-2.2339 -2.5636 9.3850
Tb Pr Sm Sb
3 2 1 6
direct
0.5000 0.5000 0.0000
0.8327 0.1664 0.6655
0.1673 0.8336 0.3345
0.8338 0.6673 0.6676
0.1662 0.3327 0.3324
0.5000 0.0000 0.0000
0.3327 0.9231 0.6653
0.6645 0.5887 0.3291
0.6673 0.0769 0.3347
0.9974 0.2516 0.9948
0.0026 0.7484 0.0052
0.3355 0.4113 0.6709
```

***

(10)
The following is a PBE calculation of a relaxed structure of GaTc3Cl, from the Alexandria database.

Results
The energy above the lowest structure with this stoichiometry is 3.90 eV per formula unit. Its formation energy without anion corrections is 1.8226 eV/atom. The value obtained for the density of states at the Fermi level is 5.14 states/eV per cell. The calculation puts the total moment at 9.8 μB per formula unit. The calculation puts the raw total energy at -26.86 eV per cell.

Structure (POSCAR):
```
GaTc3Cl
1.0
4.8494 0.0000 0.0000
0.0000 4.8494 0.0000
0.0000 0.0000 4.8494
Tc Ga Cl
3 1 1
direct
0.0000 0.5000 0.0000
0.0000 0.0000 0.5000
0.5000 0.0000 0.0000
0.0000 0.0000 0.0000
0.5000 0.5000 0.5000
```

***

(11)
The following is a PBE calculation of a relaxed structure of Al2CrH, from the Alexandria database.

Results
The energy above the lowest structure with this stoichiometry is 0.00 eV per formula unit. The value obtained for the density of states at the Fermi level is 1.89 states/eV per cell. The calculation puts the total moment at 1.4 μB per formula unit. The calculation puts the raw total energy at -20.00 eV per cell.

Structure (POSCAR):
```
Al2CrH
1.0
2.8855 0.0000 0.0000
1.4427 2.4989 0.0000
1.4427 0.8330 7.2895
Cr Al H
1 2 1
direct
0.5000 0.5000 0.5000
0.0797 0.0797 0.7610
0.9203 0.9203 0.2390
0.0000 0.0000 0.0000
```

***

> What is the formula in the eighth record?

KCaCo2

***

Please write out number 11 again, unchanged.
The following is a PBE calculation of a relaxed structure of Al2CrH, from the Alexandria database.

Results
The energy above the lowest structure with this stoichiometry is 0.00 eV per formula unit. The value obtained for the density of states at the Fermi level is 1.89 states/eV per cell. The calculation puts the total moment at 1.4 μB per formula unit. The calculation puts the raw total energy at -20.00 eV per cell.

Structure (POSCAR):
```
Al2CrH
1.0
2.8855 0.0000 0.0000
1.4427 2.4989 0.0000
1.4427 0.8330 7.2895
Cr Al H
1 2 1
direct
0.5000 0.5000 0.5000
0.0797 0.0797 0.7610
0.9203 0.9203 0.2390
0.0000 0.0000 0.0000
```